Entry from Alexandria: Cr2POs after structural relaxation (PBE).

Computed properties:
Formation energy, meV per atom: 43.4
ρ, Mg/m³: 10.81

Cell lengths 2.693, 2.693, 23.863 Å; angles 90.00, 90.00, 120.00 degrees
Fractional positions:
Cr1 0.000 0.000 0.244
Cr2 0.000 0.000 0.756
Cr3 0.333 0.667 0.422
Cr4 0.333 0.667 0.911
Cr5 0.667 0.333 0.089
Cr6 0.667 0.333 0.578
P1 0.000 0.000 0.500
P2 0.333 0.667 0.167
P3 0.667 0.333 0.833
Os1 0.000 0.000 0.000
Os2 0.333 0.667 0.667
Os3 0.667 0.333 0.333



Entry from Alexandria: CrPOs2 after structural relaxation (PBE).

Computed properties:
Formation energy, meV per atom: 62.4
ρ, Mg/m³: 14.64

Cell lengths 2.745, 2.745, 24.164 Å; angles 90.00, 90.00, 120.00 degrees
Fractional positions:
Cr1 0.000 0.000 0.000
Cr2 0.333 0.667 0.667
Cr3 0.667 0.333 0.333
P1 0.000 0.000 0.257
P2 0.333 0.667 0.924
P3 0.667 0.333 0.591
Os1 0.000 0.000 0.513
Os2 0.000 0.000 0.751
Os3 0.333 0.667 0.180
Os4 0.333 0.667 0.418
Os5 0.667 0.333 0.084
Os6 0.667 0.333 0.847